Entry 1:
Compound: CaPOs2
Source: Alexandria via LeMat-Bulk
Functional: GGA-PBE
Structure: optimized geometry

Electronic total energy (eV per cell): -29.607

```
data_CaPOs2
_space_group_name_H-M_alt 'P 1 m 1'
_space_group_IT_number 6
_cell_length_a 2.9588
_cell_length_b 4.2858
_cell_length_c 5.6589
_cell_angle_alpha 90.00
_cell_angle_beta 98.34
_cell_angle_gamma 90.00
loop_
_space_group_symop_operation_xyz
'x,y,z'
'x,-y,z'
loop_
_atom_site_label
_atom_site_type_symbol
_atom_site_fract_x
_atom_site_fract_y
_atom_site_fract_z
Ca1 Ca 0.0000 0.0000 0.0000
P1 P 0.4175 0.5000 0.7184
Os1 Os 0.3999 0.0000 0.5034
Os2 Os 0.8350 0.5000 0.3862
```

Entry 2:
Compound: Sc2In2Ga
Source: Alexandria via LeMat-Bulk
Functional: GGA-PBE
Structure: optimized geometry

Offset from the most stable computed form (eV/atom): 0.0456
Electronic total energy (eV per cell): -44.818

```
data_Sc2In2Ga
_space_group_name_H-M_alt 'P 4/m b m'
_space_group_IT_number 127
_space_group_name_Hall '-P 4 2ab'
_cell_length_a 7.2215
_cell_length_b 7.2215
_cell_length_c 4.5228
_cell_angle_alpha 90.00
_cell_angle_beta 90.00
_cell_angle_gamma 90.00
loop_
_atom_site_label
_atom_site_type_symbol
_atom_site_fract_x
_atom_site_fract_y
_atom_site_fract_z
Sc1 Sc 0.1537 0.3463 0.0000
In1 In 0.1532 0.6532 0.5000
Ga1 Ga 0.0000 0.0000 0.0000
```

Entry 3:
Compound: Ac2LaNd3N6
Source: Alexandria via LeMat-Bulk
Functional: GGA-PBE
Structure: optimized geometry

Electronic total energy (eV per cell): -184.248
Uncorrected formation energy (eV per atom): -1.2270

```
data_Ac2LaNd3N6
_space_group_name_H-M_alt 'C 1 2/m 1'
_space_group_IT_number 12
_cell_length_a 16.4343
_cell_length_b 3.7492
_cell_length_c 7.5295
_cell_angle_alpha 90.00
_cell_angle_beta 103.46
_cell_angle_gamma 90.00
loop_
_space_group_symop_operation_xyz
'x,y,z'
'-x,-y,-z'
'-x,y,-z'
'x,-y,z'
'x+1/2,y+1/2,z'
'-x+1/2,-y+1/2,-z'
'-x+1/2,y+1/2,-z'
'x+1/2,-y+1/2,z'
loop_
_atom_site_label
_atom_site_type_symbol
_atom_site_fract_x
_atom_site_fract_y
_atom_site_fract_z
Ac1 Ac 0.1662 0.0000 0.3292
La1 La 0.0000 0.5000 0.0000
Nd1 Nd 0.0000 0.5000 0.5000
Nd2 Nd 0.1625 0.0000 0.8317
N1 N 0.0028 0.0000 0.7492
N2 N 0.1614 0.5000 0.5943
N3 N 0.1634 0.5000 0.0757
```

Entry 4:
Compound: CePmZnCo
Source: Alexandria via LeMat-Bulk
Functional: GGA-PBE
Structure: optimized geometry

Electronic total energy (eV per cell): -77.773

```
data_CePmZnCo
_space_group_name_H-M_alt 'F -4 3 m'
_space_group_IT_number 216
_space_group_name_Hall 'F -4 2 3'
_cell_length_a 7.0506
_cell_length_b 7.0506
_cell_length_c 7.0506
_cell_angle_alpha 90.00
_cell_angle_beta 90.00
_cell_angle_gamma 90.00
loop_
_atom_site_label
_atom_site_type_symbol
_atom_site_fract_x
_atom_site_fract_y
_atom_site_fract_z
Ce1 Ce 0.0000 0.0000 0.0000
Pm1 Pm 0.0000 0.0000 0.5000
Zn1 Zn 0.2500 0.2500 0.7500
Co1 Co 0.2500 0.2500 0.2500
```

Entry 5:
Compound: InGa2Pd4
Source: Alexandria via LeMat-Bulk
Functional: GGA-PBE
Structure: optimized geometry

Offset from the most stable computed form (eV/atom): 0.0000
Electronic total energy (eV per cell): -130.794

```
data_InGa2Pd4
_space_group_name_H-M_alt 'C m c m'
_space_group_IT_number 63
_space_group_name_Hall '-C 2c 2'
_cell_length_a 2.9486
_cell_length_b 15.5846
_cell_length_c 10.4995
_cell_angle_alpha 90.00
_cell_angle_beta 90.00
_cell_angle_gamma 90.00
loop_
_atom_site_label
_atom_site_type_symbol
_atom_site_fract_x
_atom_site_fract_y
_atom_site_fract_z
In1 In 0.0000 0.1099 0.2500
Ga1 Ga 0.0000 0.3687 0.0560
Pd1 Pd 0.0000 0.0000 0.0000
Pd2 Pd 0.0000 0.2585 0.6209
Pd3 Pd 0.0000 0.4608 0.2500
```

Entry 6:
Compound: SrPbI3
Source: Alexandria via LeMat-Bulk
Functional: GGA-PBE
Structure: optimized geometry

Offset from the most stable computed form (eV/atom): 0.0000
Electronic total energy (eV per cell): -13.716
Uncorrected formation energy (eV per atom): -0.7350

```
data_SrPbI3
_space_group_name_H-M_alt 'P m -3 m'
_space_group_IT_number 221
_space_group_name_Hall '-P 4 2 3'
_cell_length_a 6.3250
_cell_length_b 6.3250
_cell_length_c 6.3250
_cell_angle_alpha 90.00
_cell_angle_beta 90.00
_cell_angle_gamma 90.00
loop_
_atom_site_label
_atom_site_type_symbol
_atom_site_fract_x
_atom_site_fract_y
_atom_site_fract_z
Sr1 Sr 0.0000 0.0000 0.0000
Pb1 Pb 0.5000 0.5000 0.5000
I1 I 0.0000 0.0000 0.5000
```

no.,magnetic moment (μB per formula unit),calculated volume (A^3/atom)
1,0.00,17.8
2,0.00,23.6
3,0.00,18.8
4,0.06,21.9
5,0.00,17.2
6,1.00,50.6